## GaSi3Tc (GGA-PBE)

Data for an optimized crystal structure of GaSi3Tc.

a = 4.678 Å, b = 4.678 Å, c = 4.678 Å
α = 90.00°, β = 90.00°, γ = 90.00°
Space group Pm-3m (No. 221)
Inequivalent atoms, fractional coordinates:
Ga (0.000, 0.000, 0.000) [1 per cell]
Si (0.000, 0.500, 0.500) [3 per cell]
Tc (0.500, 0.500, 0.500) [1 per cell]

Results
Energy relative to the elements, uncorrected (eV/atom): 0.422
E above lowest polymorph (meV/atom): 0.0